# Tb12SmIn6 PBE relaxed
# Crystal system: trigonal
# Energy relative to the elements, eV per atom: -0.037
# Size of the total moment, μB/f.u.: 0.0
data_Tb12SmIn6
_chemical_formula_sum 'Tb36 Sm3 In18'
_symmetry_space_group_name_H-M 'R -3 m'
_symmetry_Int_Tables_number 166
_symmetry_space_group_name_Hall '-R 3 2"'
_cell_length_a 13.9152
_cell_length_b 13.9152
_cell_length_c 11.2552
_cell_angle_alpha 90.00
_cell_angle_beta 90.00
_cell_angle_gamma 120.00
loop_
_atom_site_label
_atom_site_fract_x
_atom_site_fract_y
_atom_site_fract_z
Tb1 0.0000 0.3795 0.0000
Tb2 0.0887 0.1775 0.8542
Sm1 0.0000 0.0000 0.5000
In1 0.0283 0.5141 0.7675